Arrangement one

First-principles (PBE-GGA) data for crystalline TbPmAgPt at its relaxed geometry, as listed in the Alexandria database.

Cell and atoms, written as extended XYZ:
```
4
Lattice="-0.846 -2.433 -4.404 3.387 -3.402 -1.726 -1.145 -4.971 0.011" Properties=species:S:1:pos:R:3 pbc="T T T"
Tb 0.000 0.000 0.000
Ag 0.349 -2.701 -1.530
Pt 1.047 -8.104 -4.589
Pm 0.698 -5.403 -3.059
```

## Properties
**DOS at the Fermi energy**: 2.21 states/eV/f.u.

=====

Arrangement two

First-principles (PBE-GGA) data for crystalline TbPmAgPt at its relaxed geometry, as listed in the Alexandria database.

Cell and atoms, written as extended XYZ:
```
4
Lattice="3.851 0.000 0.000 0.000 4.671 0.000 -1.925 0.000 5.432" Properties=species:S:1:pos:R:3 pbc="T T T"
Tb 1.925 2.336 3.949
Pm 0.000 0.000 1.522
Ag 1.925 2.336 0.894
Pt 0.000 0.000 4.500
```

## Properties
**DOS at the Fermi energy**: 2.66 states/eV/f.u.

=====

Which of them is the least stable? Correct choice: arrangement one.

=====

Arrangement one

First-principles (PBE-GGA) data for crystalline Pm6AgRh5 at its relaxed geometry, as listed in the Alexandria database.

Cell and atoms, written as extended XYZ:
```
12
Lattice="-1.165 -6.761 2.479 3.991 -0.398 6.139 -2.396 1.649 6.044" Properties=species:S:1:pos:R:3 pbc="T T T"
Pm -1.294 -4.307 4.548
Pm 0.987 -1.534 6.192
Pm 0.935 -1.574 2.358
Pm 1.891 -5.585 6.260
Pm -0.557 -3.976 8.470
Pm 1.724 -1.204 10.114
Ag 0.000 0.000 0.000
Rh -1.865 -2.200 6.529
Rh 0.227 0.545 4.267
Rh 1.413 -3.580 4.309
Rh 1.369 0.706 7.915
Rh 2.295 -3.310 8.132
```

## Properties
**DOS at the Fermi energy**: 4.56 states/eV/f.u.

=====

Arrangement two

First-principles (PBE-GGA) data for crystalline Pm6AgRh5 at its relaxed geometry, as listed in the Alexandria database.

Cell and atoms, written as extended XYZ:
```
12
Lattice="-4.351 2.192 1.114 -3.519 -5.752 -2.429 2.437 -4.143 6.277" Properties=species:S:1:pos:R:3 pbc="T T T"
Rh -3.842 -2.806 1.636
Rh 0.172 -2.050 4.605
Rh -1.760 -2.876 -1.215
Rh -5.605 -5.653 0.357
Rh -1.591 -4.897 3.326
Ag 0.000 0.000 0.000
Pm -4.633 -5.204 3.246
Pm -2.898 -2.367 4.445
Pm -0.654 -4.543 6.202
Pm -4.779 -3.160 -1.240
Pm -2.535 -5.336 0.518
Pm -0.800 -2.498 1.716
```

## Properties
**DOS at the Fermi energy**: 6.41 states/eV/f.u.

=====

Which of them is the least stable? Correct choice: arrangement one.

=====

Arrangement one

First-principles (PBE-GGA) data for crystalline PmAgRh at its relaxed geometry, as listed in the Alexandria database.

Cell and atoms, written as extended XYZ:
```
3
Lattice="-1.986 2.523 3.385 -2.007 -2.136 3.630 1.981 0.213 4.219" Properties=species:S:1:pos:R:3 pbc="T T T"
Rh -0.503 0.150 2.808
Ag 0.000 0.000 0.000
Pm -1.006 0.299 5.617
```

## Properties
**DOS at the Fermi energy**: 3.19 states/eV/f.u.

=====

Arrangement two

First-principles (PBE-GGA) data for crystalline PmAgRh at its relaxed geometry, as listed in the Alexandria database.

Cell and atoms, written as extended XYZ:
```
3
Lattice="3.575 0.000 0.000 0.000 4.603 0.000 0.000 -2.301 3.986" Properties=species:S:1:pos:R:3 pbc="T T T"
Rh 0.596 0.000 0.000
Ag 0.596 0.000 2.657
Pm 2.383 2.301 1.329
```

## Properties
**DOS at the Fermi energy**: 2.06 states/eV/f.u.

=====

Which of them is the least stable? Correct choice: arrangement one.